[1]
Zr4VN: optimized geometry, PBE.

Calculated values
ρ in g/cm³: 6.40
DOS(E_F) in states/eV/cell: 11.60
Magnetic moment in μB/cell: 2.5
Formation energy (no corrections) in eV per atom: -0.383

abc: 6.290 5.936 6.054
angles: 90.00 99.10 90.00
Each line ends with the local moment (μB).
Element x y z (fractional)
Zr1 0.891 0.636 0.163  0.00
Zr2 0.609 0.136 0.837  0.00
Zr3 0.312 0.326 0.394  0.01
Zr4 0.188 0.826 0.606  0.01
Zr5 0.109 0.364 0.837  0.00
Zr6 0.391 0.864 0.163  0.00
Zr7 0.688 0.674 0.606  0.01
Zr8 0.812 0.174 0.394  0.01
V1 0.000 0.000 0.000  1.11
V2 0.500 0.500 0.000  1.11
N1 0.500 0.000 0.500  0.01
N2 0.000 0.500 0.500  0.01

---

[2]
ZrV3N: optimized geometry, PBE.

Calculated values
Distance to the lowest polymorph of the same formula in eV per atom: 0.000
ρ in g/cm³: 6.35
DOS(E_F) in states/eV/cell: 5.04
Magnetic moment in μB/cell: 0.0
Formation energy (no corrections) in eV per atom: -0.451

abc: 4.071 4.071 4.071
angles: 90.00 90.00 90.00
Element x y z (fractional)
V1 0.000 0.500 0.000
V2 0.000 0.000 0.500
V3 0.500 0.000 0.000
Zr1 0.500 0.500 0.500
N1 0.000 0.000 0.000